(1)
# CeCoAs2

An optimized crystal structure of CeCoAs2 (GGA-PBE, Alexandria).

Values from the calculation:
energy of formation from the pure elements	0.065	eV per atom

Cell lengths 4.4426, 4.4426, 7.6882 Å; angles 73.21, 73.21, 60.00 degrees
Closest atoms and distances in Å follow each position.
Positions (direct):
As1 0.1038 0.1038 0.6885  1 Co 2.26
Ce1 0.5000 0.5000 0.5000  6 As 2.91
Co1 0.0000 0.0000 0.0000  2 As 2.26
As2 0.8962 0.8962 0.3115  1 Co 2.26

(2)
# Sc2TcP

An optimized crystal structure of Sc2TcP (GGA-PBE, Alexandria).

Values from the calculation:
energy of formation from the pure elements	-0.522	eV per atom

Cell lengths 3.1108, 3.1108, 7.4972 Å; angles 90.00, 90.00, 90.00 degrees
Closest atoms and distances in Å follow each position.
Positions (direct):
Sc1 0.0000 0.0000 0.9427  4 P 2.86, 1 Tc 2.89, 4 Sc 3.11
P1 0.5000 0.5000 0.6991  4 Tc 2.45
Sc2 0.5000 0.5000 0.3015  4 Tc 2.92, 1 P 2.98, 4 Sc 3.11
Tc1 0.0000 0.0000 0.5567  4 P 2.45

(3)
# RbFe2SbBr8

An optimized crystal structure of RbFe2SbBr8 (GGA-PBE, Alexandria).

Values from the calculation:
uncorrected formation energy	-675	meV per atom

Cell lengths 6.8595, 6.8595, 10.1631 Å; angles 84.72, 84.72, 69.66 degrees
Closest atoms and distances in Å follow each position.
Positions (direct):
Rb1 0.0000 0.0000 0.5000  6 Br 3.60-3.61
Br1 0.2515 0.2515 0.9927  1 Fe 2.44
Fe1 0.3821 0.3821 0.7839  4 Br 2.36-2.45
Br2 0.6955 0.6955 0.4219  1 Fe 2.36
Sb1 0.0000 0.0000 0.0000  6 Br 2.83-2.89
Br3 0.7485 0.7485 0.0073  1 Fe 2.44
Br4 0.2710 0.7615 0.7928  1 Fe 2.45
Br5 0.2385 0.7290 0.2072  1 Fe 2.45
Br6 0.3045 0.3045 0.5781  1 Fe 2.36
Br7 0.7290 0.2385 0.2072  1 Fe 2.45
Fe2 0.6179 0.6179 0.2161  4 Br 2.36-2.45
Br8 0.7615 0.2710 0.7928  1 Fe 2.45

(4)
# SmB6Mo2

An optimized crystal structure of SmB6Mo2 (GGA-PBE, Alexandria).

Values from the calculation:
energy of formation from the pure elements	-0.480	eV per atom

Cell lengths 3.1730, 5.7550, 5.7550 Å; angles 75.11, 74.00, 74.00 degrees
Closest atoms and distances in Å follow each position.
Positions (direct):
B1 0.1942 0.0449 0.5666  3 B 1.75-1.86
Mo1 0.3448 0.1552 0.1552  10 B 2.24-2.36
B2 0.1942 0.5666 0.0449  3 B 1.75-1.86
Sm1 0.5000 0.5000 0.5000  16 B 2.85-3.11, 2 Sm 3.17
Mo2 0.6552 0.8448 0.8448  10 B 2.24-2.36
B3 0.0000 0.1618 0.8382  2 B 1.75
B4 0.8058 0.4334 0.9551  3 B 1.75-1.86
B5 0.8058 0.9551 0.4334  3 B 1.75-1.86
B6 0.0000 0.8382 0.1618  2 B 1.75

(5)
# Tl3SeF

An optimized crystal structure of Tl3SeF (GGA-PBE, Alexandria).

Values from the calculation:
uncorrected formation energy	-881	meV per atom

Cell lengths 6.9679, 7.1982, 12.5468 Å; angles 90.00, 96.51, 90.00 degrees
Closest atoms and distances in Å follow each position.
Positions (direct):
Se1 0.9621 0.6422 0.7422  5 Tl 3.00-3.28
Tl1 0.2335 0.1188 0.4463  2 F 2.56-2.63
Tl2 0.3003 0.6176 0.4060  1 F 2.59
Tl3 0.1997 0.1176 0.0940  1 F 2.59
F1 0.0080 0.8392 0.4089  4 Tl 2.55-2.63
Tl4 0.6997 0.3824 0.5940  1 F 2.59
F2 0.4920 0.3392 0.0911  4 Tl 2.55-2.63
Tl5 0.2665 0.6188 0.0537  2 F 2.56-2.63
Tl6 0.8003 0.8824 0.9060  1 F 2.59
Tl7 0.6200 0.2832 0.2873  1 F 2.55
F3 0.9920 0.1608 0.5911  4 Tl 2.55-2.63
Tl8 0.7335 0.3812 0.9463  2 F 2.56-2.63
Tl9 0.3800 0.7168 0.7127  1 F 2.55
Se2 0.4621 0.8578 0.2422  5 Tl 3.00-3.28
Tl10 0.1200 0.2168 0.7873  1 F 2.55
Se3 0.5379 0.1422 0.7578  5 Tl 3.00-3.28
Tl11 0.7665 0.8812 0.5537  2 F 2.56-2.63
Se4 0.0379 0.3578 0.2578  5 Tl 3.00-3.28
F4 0.5080 0.6608 0.9089  4 Tl 2.55-2.63
Tl12 0.8800 0.7832 0.2127  1 F 2.55

(6)
# Tc2IrRu2

An optimized crystal structure of Tc2IrRu2 (GGA-PBE, Alexandria).

Values from the calculation:
energy of formation from the pure elements	-0.028	eV per atom

Cell lengths 4.7004, 4.7033, 12.7531 Å; angles 42.47, 60.76, 48.61 degrees
Closest atoms and distances in Å follow each position.
Positions (direct):
Ru1 0.4494 0.2457 0.3511  3 Ru 2.71-2.75, 6 Tc 2.71-2.72, 3 Ir 2.72
Ir1 0.7500 0.7500 0.2500  6 Ru 2.72, 6 Tc 2.73
Tc1 0.1482 0.7486 0.4495  3 Tc 2.68-2.75, 6 Ru 2.71-2.72, 3 Ir 2.73
Ir2 0.2500 0.2500 0.7500  6 Ru 2.72, 6 Tc 2.73
Tc2 0.6482 0.2486 0.9495  3 Tc 2.68-2.75, 6 Ru 2.71-2.72, 3 Ir 2.73
Ru2 0.0506 0.2543 0.1489  3 Ru 2.71-2.75, 6 Tc 2.71-2.72, 3 Ir 2.72
Ru3 0.5506 0.7543 0.6489  3 Ru 2.71-2.75, 6 Tc 2.71-2.72, 3 Ir 2.72
Tc3 0.8518 0.2514 0.5505  3 Tc 2.68-2.75, 6 Ru 2.71-2.72, 3 Ir 2.73
Ru4 0.9494 0.7457 0.8511  3 Ru 2.71-2.75, 6 Tc 2.71-2.72, 3 Ir 2.72
Tc4 0.3518 0.7514 0.0505  3 Tc 2.68-2.75, 6 Ru 2.71-2.72, 3 Ir 2.73

(7)
# MgSnHg

An optimized crystal structure of MgSnHg (GGA-PBE, Alexandria).

Values from the calculation:
energy of formation from the pure elements	-0.025	eV per atom

Cell lengths 4.8745, 4.8745, 8.3261 Å; angles 72.98, 72.98, 60.00 degrees
Closest atoms and distances in Å follow each position.
Positions (direct):
Sn1 0.6267 0.6267 0.1200  4 Mg 2.97-2.98
Mg1 0.5000 0.5000 0.5000  6 Hg 2.96, 2 Sn 2.98
Hg1 0.1276 0.1276 0.6172  4 Mg 2.96-3.00
Sn2 0.3733 0.3733 0.8800  4 Mg 2.97-2.98
Mg2 0.0000 0.0000 0.0000  6 Sn 2.97, 2 Hg 3.00
Hg2 0.8724 0.8724 0.3828  4 Mg 2.96-3.00

(8)
# Pm2USnN5

An optimized crystal structure of Pm2USnN5 (GGA-PBE, Alexandria).

Values from the calculation:
uncorrected formation energy	-961	meV per atom

Cell lengths 3.5008, 7.3679, 10.6178 Å; angles 90.00, 90.00, 103.74 degrees
Closest atoms and distances in Å follow each position.
Positions (direct):
Pm1 0.1311 0.2622 0.2904  6 N 2.53-2.68
Sn1 0.5192 0.0383 0.9690  4 N 2.07-2.17
N1 0.9414 0.8829 0.5620  2 Sn 2.09
Pm2 0.8689 0.7378 0.7904  6 N 2.53-2.68
N2 0.6298 0.2596 0.5050  1 Sn 2.17, 1 U 2.19
Pm3 0.1098 0.2196 0.6950  6 N 2.51-2.79
N3 0.3025 0.6050 0.3773  2 U 2.25
Pm4 0.8902 0.7804 0.1950  6 N 2.51-2.79
Sn2 0.4808 0.9617 0.4690  4 N 2.07-2.17
N4 0.4963 0.9925 0.7760  1 Sn 2.07
N5 0.7196 0.4391 0.1412  2 U 2.25, 1 Pm 2.51
N6 0.0586 0.1171 0.0620  2 Sn 2.09
N7 0.5037 0.0075 0.2760  1 Sn 2.07
N8 0.2804 0.5609 0.6412  2 U 2.25, 1 Pm 2.51
N9 0.6975 0.3950 0.8773  2 U 2.25
U1 0.7826 0.5652 0.5080  6 N 2.19-2.34
U2 0.2174 0.4348 0.0080  6 N 2.19-2.34
N10 0.3702 0.7404 0.0050  1 Sn 2.17, 1 U 2.19

(9)
# Tb6Nd2Er3Pb

An optimized crystal structure of Tb6Nd2Er3Pb (GGA-PBE, Alexandria).

Values from the calculation:
energy of formation from the pure elements	-0.065	eV per atom

Cell lengths 6.1107, 6.1107, 11.7854 Å; angles 94.96, 94.96, 120.02 degrees
Closest atoms and distances in Å follow each position.
Positions (direct):
Tb1 0.4108 0.0840 0.2522  6 Tb 3.46-3.56, 3 Er 3.51-3.54, 1 Pb 3.54, 2 Nd 3.58
Tb2 0.7578 0.7578 0.2530  6 Tb 3.46-3.56, 3 Er 3.51-3.54, 1 Pb 3.55, 2 Nd 3.58
Tb3 0.2422 0.2422 0.7470  6 Tb 3.46-3.56, 3 Er 3.51-3.54, 1 Pb 3.55, 2 Nd 3.58
Nd1 0.3338 0.6662 0.0000  3 Nd 3.52-3.53, 3 Pb 3.53, 6 Tb 3.58
Tb4 0.5892 0.9160 0.7478  6 Tb 3.46-3.56, 3 Er 3.51-3.54, 1 Pb 3.54, 2 Nd 3.58
Tb5 0.0840 0.4108 0.2522  6 Tb 3.46-3.56, 3 Er 3.51-3.54, 1 Pb 3.54, 2 Nd 3.58
Tb6 0.9160 0.5892 0.7478  6 Tb 3.46-3.56, 3 Er 3.51-3.54, 1 Pb 3.54, 2 Nd 3.58
Pb1 0.0000 0.0000 0.0000  6 Nd 3.53, 6 Tb 3.54-3.55
Nd2 0.6662 0.3338 0.0000  3 Nd 3.52-3.53, 3 Pb 3.53, 6 Tb 3.58
Er1 0.5000 0.5000 0.5000  6 Tb 3.51-3.54, 6 Er 3.52-3.53
Er2 0.1675 0.8325 0.5000  6 Tb 3.51-3.54, 6 Er 3.52-3.55
Er3 0.8325 0.1675 0.5000  6 Tb 3.51-3.54, 6 Er 3.52-3.55

(10)
# TaSbTe2Mo

An optimized crystal structure of TaSbTe2Mo (GGA-PBE, Alexandria).

Values from the calculation:
uncorrected formation energy	1056	meV per atom

Cell lengths 5.3730, 5.3730, 5.4141 Å; angles 90.00, 90.00, 90.00 degrees
Closest atoms and distances in Å follow each position.
Positions (direct):
Te1 0.0000 0.5000 0.0000  2 Ta 2.69
Mo1 0.5000 0.5000 0.5000  4 Sb 3.80, 8 Te 3.81
Ta1 0.0000 0.0000 0.0000  4 Te 2.69, 2 Sb 2.71
Te2 0.5000 0.0000 0.0000  2 Ta 2.69
Sb1 0.0000 0.0000 0.5000  2 Ta 2.71

So what do the calculations give for size of the total moment? Going down the list: 0.7488, 0.0020, 0.6667, 0.0000, 0.0000, 0.0000, 0.0000, 0.1028, 0.0000, 0.9299 μB/atom.
So what do the calculations give for DFT total energy? Going down the list: -22.1, -30.5, -43.5, -70.8, -67.4, -96.6, -11.9, -150.1, -55.5, -27.8 eV/cell.